[1]
# Cs3Tb3YTe8

A geometry-optimized Cs3Tb3YTe8 structure (GGA-PBE, Alexandria via LeMat-Bulk).

**Total energy**: -4.5372 eV per atom
**SG**: R-3m (166)
**M_tot**: 0.00 μB/f.u.
**Crystal system**: trigonal

Lattice parameters (Å, degrees): 10.551 10.551 10.551 49.77 49.77 49.77
Fractional positions:
Cs  0.000  0.500  0.500
Cs  0.500  0.000  0.500
Cs  0.500  0.500  0.000
Tb  0.000  0.000  0.500
Tb  0.000  0.500  0.000
Tb  0.500  0.000  0.000
Y  0.500  0.500  0.500
Te  0.229  0.731  0.731
Te  0.231  0.231  0.231
Te  0.269  0.269  0.771
Te  0.269  0.771  0.269
Te  0.731  0.229  0.731
Te  0.731  0.731  0.229
Te  0.769  0.769  0.769
Te  0.771  0.269  0.269

***

[2]
# Sm2ZnCu9

A geometry-optimized Sm2ZnCu9 structure (GGA-PBE, Alexandria via LeMat-Bulk).

**Total energy**: -4.0006 eV per atom
**SG**: R-3m (166)
**M_tot**: 0.00 μB/f.u.
**Crystal system**: trigonal
**Formation energy**: -0.036 eV/atom

Lattice parameters (Å, degrees): 8.799 8.799 8.799 33.78 33.78 33.78
Fractional positions:
Sm  0.134  0.134  0.134
Sm  0.866  0.866  0.866
Zn  0.000  0.000  0.000
Cu  0.079  0.581  0.581
Cu  0.333  0.333  0.333
Cu  0.419  0.419  0.921
Cu  0.419  0.921  0.419
Cu  0.500  0.500  0.500
Cu  0.581  0.079  0.581
Cu  0.581  0.581  0.079
Cu  0.667  0.667  0.667
Cu  0.921  0.419  0.419

***

[3]
# Sm2SnHg2

A geometry-optimized Sm2SnHg2 structure (GGA-PBE, Alexandria via LeMat-Bulk).

**Total energy**: -3.2484 eV per atom
**SG**: C2/m (12)
**M_tot**: 0.00 μB/f.u.
**Crystal system**: monoclinic
**E above lowest polymorph**: 56.2 meV/atom
**Formation energy**: -0.439 eV/atom

Lattice parameters (Å, degrees): 5.608 5.608 6.279 93.02 93.02 47.89
Fractional positions:
Sm  0.196  0.196  0.215
Sm  0.804  0.804  0.785
Sn  0.500  0.500  0.000
Hg  0.103  0.103  0.684
Hg  0.897  0.897  0.316

***

[4]
# Ca2Mg2Al

A geometry-optimized Ca2Mg2Al structure (GGA-PBE, Alexandria via LeMat-Bulk).

**Total energy**: -2.2021 eV per atom
**SG**: P4/mbm (127)
**M_tot**: 0.00 μB/f.u.
**Crystal system**: tetragonal
**Formation energy**: -0.015 eV/atom

Lattice parameters (Å, degrees): 7.399 7.399 5.246 90.00 90.00 90.00
Fractional positions:
Ca  0.179  0.321  0.000
Ca  0.321  0.821  0.000
Ca  0.679  0.179  0.000
Ca  0.821  0.679  0.000
Mg  0.138  0.638  0.500
Mg  0.362  0.138  0.500
Mg  0.638  0.862  0.500
Mg  0.862  0.362  0.500
Al  0.000  0.000  0.500
Al  0.500  0.500  0.500

***

[5]
# Si2AsP

A geometry-optimized Si2AsP structure (GGA-PBE, Alexandria via LeMat-Bulk).

**Total energy**: -5.0643 eV per atom
**SG**: P2/m (10)
**M_tot**: 0.00 μB/f.u.
**Crystal system**: monoclinic
**E above lowest polymorph**: 87.1 meV/atom

Lattice parameters (Å, degrees): 2.568 3.560 7.323 90.00 90.27 90.00
Fractional positions:
Si  0.000  0.000  0.234
Si  0.000  0.000  0.766
As  0.000  0.500  0.500
P  0.000  0.500  0.000

***

[6]
# Ac2PmErS4

A geometry-optimized Ac2PmErS4 structure (GGA-PBE, Alexandria via LeMat-Bulk).

**Total energy**: -6.2403 eV per atom
**SG**: P2/m (10)
**M_tot**: 0.00 μB/f.u.
**Crystal system**: monoclinic

Lattice parameters (Å, degrees): 7.043 4.035 7.375 90.00 108.33 90.00
Fractional positions:
Ac  0.000  0.000  0.000
Ac  0.500  0.500  0.000
Pm  0.000  0.500  0.500
Er  0.500  0.000  0.500
S  0.249  0.000  0.724
S  0.269  0.500  0.281
S  0.731  0.500  0.719
S  0.751  0.000  0.276

***

[7]
# K3Ac3MoS8

A geometry-optimized K3Ac3MoS8 structure (GGA-PBE, Alexandria via LeMat-Bulk).

**Total energy**: -5.4864 eV per atom
**SG**: R-3m (166)
**M_tot**: 2.00 μB/f.u.
**Crystal system**: trigonal

Lattice parameters (Å, degrees): 8.966 8.966 8.966 56.48 56.48 56.48
Fractional positions:
K  0.000  0.500  0.500
K  0.500  0.000  0.500
K  0.500  0.500  0.000
Ac  0.000  0.000  0.500
Ac  0.000  0.500  0.000
Ac  0.500  0.000  0.000
Mo  0.500  0.500  0.500
S  0.240  0.240  0.240
S  0.276  0.707  0.707
S  0.293  0.293  0.724
S  0.293  0.724  0.293
S  0.707  0.276  0.707
S  0.707  0.707  0.276
S  0.724  0.293  0.293
S  0.760  0.760  0.760

***

[8]
# ZrPbW2

A geometry-optimized ZrPbW2 structure (GGA-PBE, Alexandria via LeMat-Bulk).

**Total energy**: -9.0693 eV per atom
**SG**: R3m (160)
**M_tot**: 0.00 μB/f.u.
**Crystal system**: trigonal
**Formation energy**: 0.471 eV/atom

Lattice parameters (Å, degrees): 9.448 9.448 9.448 19.48 19.48 19.48
Fractional positions:
Zr  0.000  0.000  0.000
Pb  0.764  0.764  0.764
W  0.253  0.253  0.253
W  0.519  0.519  0.519

***

[9]
# Pd2ICl2

A geometry-optimized Pd2ICl2 structure (GGA-PBE, Alexandria via LeMat-Bulk).

**Total energy**: -3.2668 eV per atom
**SG**: P4/mbm (127)
**M_tot**: 0.00 μB/f.u.
**Crystal system**: tetragonal

Lattice parameters (Å, degrees): 7.690 7.690 4.510 90.00 90.00 90.00
Fractional positions:
Pd  0.221  0.279  0.000
Pd  0.279  0.779  0.000
Pd  0.721  0.221  0.000
Pd  0.779  0.721  0.000
I  0.000  0.000  0.000
I  0.500  0.500  0.000
Cl  0.163  0.337  0.500
Cl  0.337  0.837  0.500
Cl  0.663  0.163  0.500
Cl  0.837  0.663  0.500

***

[10]
# SrIn2SnBi2

A geometry-optimized SrIn2SnBi2 structure (GGA-PBE, Alexandria via LeMat-Bulk).

**Total energy**: -3.3736 eV per atom
**SG**: Pmc2_1 (26)
**M_tot**: 0.00 μB/f.u.
**Crystal system**: orthorhombic
**Formation energy**: -0.220 eV/atom

Lattice parameters (Å, degrees): 5.434 9.811 7.369 90.00 90.00 90.00
Fractional positions:
Sr  0.000  0.044  0.000
Sr  0.000  0.956  0.500
In  0.000  0.345  0.296
In  0.000  0.655  0.796
In  0.500  0.461  0.023
In  0.500  0.539  0.523
Sn  0.500  0.172  0.701
Sn  0.500  0.828  0.201
Bi  0.000  0.334  0.730
Bi  0.000  0.666  0.230
Bi  0.500  0.149  0.272
Bi  0.500  0.851  0.772

***

[11]
# NaAc2Tl6

A geometry-optimized NaAc2Tl6 structure (GGA-PBE, Alexandria via LeMat-Bulk).

**Total energy**: -2.8812 eV per atom
**SG**: C2/m (12)
**M_tot**: 0.00 μB/f.u.
**Crystal system**: monoclinic
**E above lowest polymorph**: 0.0 meV/atom
**Formation energy**: -0.244 eV/atom

Lattice parameters (Å, degrees): 7.008 7.008 6.533 90.00 90.00 59.97
Fractional positions:
Na  0.000  0.000  0.000
Ac  0.333  0.333  0.169
Ac  0.667  0.667  0.831
Tl  0.179  0.641  0.680
Tl  0.180  0.180  0.682
Tl  0.359  0.821  0.320
Tl  0.641  0.179  0.680
Tl  0.820  0.820  0.318
Tl  0.821  0.359  0.320

***

[12]
# ScSn2Mo

A geometry-optimized ScSn2Mo structure (GGA-PBE, Alexandria via LeMat-Bulk).

**Total energy**: -6.0902 eV per atom
**SG**: I-42d (122)
**M_tot**: 1.00 μB/f.u.
**Crystal system**: tetragonal
**E above lowest polymorph**: 259.2 meV/atom
**Formation energy**: 0.202 eV/atom

Lattice parameters (Å, degrees): 6.251 6.251 6.251 103.58 103.58 122.03
Fractional positions:
Sc  0.000  0.000  0.000
Sc  0.750  0.250  0.500
Sn  0.144  0.625  0.019
Sn  0.375  0.394  0.519
Sn  0.606  0.125  0.981
Sn  0.875  0.856  0.481
Mo  0.250  0.750  0.500
Mo  0.500  0.500  0.000